The following is a DFT calculation (PBE) of a relaxed MgAlInSe4 crystal.

## Properties
* space group: No. 82
* N(E_F): 0.000 states/eV/f.u.
* raw formation energy: -0.874 eV/atom

Structure (CIF):
```
data_MgAlInSe4
_chemical_formula_sum 'Mg1 Al1 In1 Se4'
_space_group_name_H-M_alt 'P 1'
_space_group_IT_number 1
_cell_length_a 6.950
_cell_length_b 6.950
_cell_length_c 6.950
_cell_angle_alpha 129.00
_cell_angle_beta 129.00
_cell_angle_gamma 75.01
loop_
_space_group_symop_operation_xyz
'x,y,z'
loop_
_atom_site_label
_atom_site_type_symbol
_atom_site_fract_x
_atom_site_fract_y
_atom_site_fract_z
Mg1 Mg 0.000 0.000 0.000
Al1 Al 0.250 0.750 0.500
In1 In 0.500 0.500 0.000
Se1 Se 0.110 0.614 0.005
Se2 Se 0.386 0.391 0.497
Se3 Se 0.609 0.106 0.995
Se4 Se 0.894 0.890 0.503
```